VASP calculation (PBE) on a geometry-optimized CsSiHg3 structure.

Cell lengths 7.0139, 7.0139, 7.0139 Å; angles 90.00, 90.00, 90.00 degrees
Last column: nearest neighbours and their distance in Å.
Element x y z (fractional)
Cs 0.0000 0.0000 0.0000  6 Hg 3.51
Si 0.5000 0.5000 0.5000  12 Hg 4.96
Hg 0.0000 0.0000 0.5000  2 Cs 3.51
Hg 0.0000 0.5000 0.0000  2 Cs 3.51
Hg 0.5000 0.0000 0.0000  2 Cs 3.51

Properties
Excess energy over the best structure of this formula in the dataset: 753 meV per atom
SG: Pm-3m (221)
Formation energy (no corrections): 0.79 eV per atom
Spin magnetization: 0.599 μB/atom